VASP calculation (GGA-PBE) on a geometry-optimized LaCdGa structure.

Cell lengths 5.137, 5.137, 6.710 Å; angles 90.00, 90.00, 120.00 degrees
Atoms (fractional coordinates):
La1 0.000 0.000 0.000
La2 0.333 0.667 0.610
Cd1 0.333 0.667 0.135
Cd2 0.667 0.333 0.314
Ga1 0.000 0.000 0.474
Ga2 0.667 0.333 0.811

Results
total moment: 0.0 μB/cell
SG: P3m1
DOS at the Fermi energy: 1.6 states/eV per cell
DFT total energy: -20.28 eV for the cell shown
ΔH_f (0 K): -0.42 eV/atom